(1)
Entry from OQMD: crystalline DyAsC3 at its relaxed geometry (PBE).

Lattice parameters (Å, degrees): 6.130 6.130 6.130 131.36 131.36 71.23
Positions (direct):
Dy  0.250  0.750  0.500
Dy  0.750  0.250  0.500
As  0.000  0.000  0.000
As  0.500  0.500  0.000
C  0.094  0.594  0.687
C  0.250  0.250  0.000
C  0.406  0.094  0.500
C  0.594  0.906  0.500
C  0.750  0.750  0.000
C  0.906  0.406  0.313

Output
Crystal system: tetragonal
Uncorrected energy in eV/atom: -6.664
SG: I4/mcm, No. 140

(2)
Entry from OQMD: crystalline FeAs2C4 at its relaxed geometry (PBE).

Lattice parameters (Å, degrees): 7.182 7.182 7.182 131.88 64.69 139.46
Positions (direct):
Fe  0.250  0.250  0.000
Fe  0.750  0.750  0.000
As  0.167  0.630  0.797
As  0.333  0.130  0.463
As  0.667  0.870  0.537
As  0.833  0.370  0.203
C  0.091  0.138  0.230
C  0.185  0.279  0.464
C  0.315  0.779  0.095
C  0.409  0.638  0.047
C  0.591  0.362  0.953
C  0.685  0.221  0.905
C  0.815  0.721  0.536
C  0.909  0.862  0.770

Output
Crystal system: orthorhombic
Uncorrected energy in eV/atom: -6.817
SG: Ibam, No. 72

(3)
Entry from OQMD: crystalline FeMo4AsC2 at its relaxed geometry (PBE).

Lattice parameters (Å, degrees): 3.085 3.085 12.567 90.00 90.00 120.00
Positions (direct):
Fe  0.000  0.000  0.000
Mo  0.000  0.000  0.339
Mo  0.000  0.000  0.661
Mo  0.667  0.333  0.154
Mo  0.667  0.333  0.846
As  0.667  0.333  0.500
C  0.333  0.667  0.247
C  0.333  0.667  0.753

Output
Crystal system: hexagonal
Uncorrected energy in eV/atom: -9.259
SG: P-6m2, No. 187

(4)
Entry from OQMD: crystalline Nb4FeAsC2 at its relaxed geometry (PBE).

Lattice parameters (Å, degrees): 3.203 3.203 12.675 90.00 90.00 120.00
Positions (direct):
Nb  0.000  0.000  0.152
Nb  0.000  0.000  0.848
Nb  0.333  0.667  0.346
Nb  0.333  0.667  0.654
Fe  0.000  0.000  0.500
As  0.333  0.667  0.000
C  0.667  0.333  0.251
C  0.667  0.333  0.749

Output
Crystal system: hexagonal
Uncorrected energy in eV/atom: -9.319
SG: P-6m2, No. 187

(5)
Entry from OQMD: crystalline Fe4SnAsC2 at its relaxed geometry (PBE).

Lattice parameters (Å, degrees): 3.026 3.026 11.636 90.00 90.00 120.00
Positions (direct):
Fe  0.000  0.000  0.159
Fe  0.000  0.000  0.841
Fe  0.667  0.333  0.314
Fe  0.667  0.333  0.686
Sn  0.000  0.000  0.500
As  0.667  0.333  0.000
C  0.333  0.667  0.240
C  0.333  0.667  0.760

Output
Crystal system: hexagonal
Uncorrected energy in eV/atom: -7.377
SG: P-6m2, No. 187

(6)
Entry from OQMD: crystalline FeAsW4C2 at its relaxed geometry (PBE).

Lattice parameters (Å, degrees): 3.081 3.081 12.663 90.00 90.00 120.00
Positions (direct):
Fe  0.000  0.000  0.000
As  0.333  0.667  0.500
W  0.000  0.000  0.339
W  0.000  0.000  0.661
W  0.333  0.667  0.152
W  0.333  0.667  0.848
C  0.667  0.333  0.247
C  0.667  0.333  0.753

Output
Crystal system: hexagonal
Uncorrected energy in eV/atom: -10.157
SG: P-6m2, No. 187

Look up the uncorrected energy of the fifth one. -7.377 eV/atom